Material: NbZn3
Method: DFT, SCAN
State: single point on PBEsol structure

a = 3.8818 Å, b = 3.8818 Å, c = 3.8818 Å
α = 90.00°, β = 90.00°, γ = 90.00°
Last column: nearest neighbours and their distance in Å.
Space group Pm-3m (No. 221)
One atom of each set of equivalent atoms:
Nb 0.0000 0.0000 0.0000 x1  12 Zn 2.74
Zn 0.0000 0.5000 0.5000 x3  4 Nb 2.74, 8 Zn 2.74

Results
DOS(E_F) ... 1.35 states/eV/cell
Energy of formation from the pure elements ... -0.23 eV per atom

---

Material: Er3Ni19B10
Method: DFT, SCAN
State: single point on PBEsol structure

a = 12.9991 Å, b = 8.5846 Å, c = 5.6879 Å
α = 90.00°, β = 91.44°, γ = 90.00°
Last column: nearest neighbours and their distance in Å.
Space group C2/m (No. 12)
One atom of each set of equivalent atoms:
Er 0.0000 0.0000 0.0000 x2  14 Ni 2.73-2.84
Er 0.1259 0.5000 0.3858 x4  6 B 2.73-2.88, 11 Ni 2.77-3.02
Ni 0.0000 0.0000 0.5000 x2  4 B 2.24, 2 Ni 2.38
Ni 0.0299 0.2592 0.6990 x8  3 B 2.04-2.14
Ni 0.1225 0.5000 0.8718 x4  4 B 2.02-2.10
Ni 0.1269 0.2491 0.0738 x8  4 B 2.06-2.11
Ni 0.1621 0.0000 0.7042 x4  4 B 2.07-2.28
Ni 0.1821 0.0000 0.2700 x4  4 B 2.01-2.10
Ni 0.2189 0.2644 0.6975 x8  4 B 2.10-2.31
B 0.0000 0.3850 0.0000 x4  1 B 1.97, 6 Ni 2.02-2.07
B 0.1177 0.1833 0.4302 x8  6 Ni 2.01-2.24
B 0.2464 0.1052 0.9744 x8  1 B 1.81

Results
DOS(E_F) ... 31.56 states/eV/cell
Energy of formation from the pure elements ... -0.47 eV per atom

---

Material: CdGa2Pd2
Method: DFT, SCAN
State: single point on PBEsol structure

a = 7.2155 Å, b = 7.2155 Å, c = 3.0336 Å
α = 90.00°, β = 90.00°, γ = 90.00°
Last column: nearest neighbours and their distance in Å.
Space group P4/mbm (No. 127)
One atom of each set of equivalent atoms:
Cd 0.0000 0.0000 0.0000 x2  4 Pd 2.77, 2 Cd 3.03
Ga 0.1512 0.3488 0.5000 x4  6 Pd 2.58-2.62
Pd 0.1449 0.6449 0.0000 x4  6 Ga 2.58-2.62, 2 Cd 2.77

Results
DOS(E_F) ... 1.72 states/eV/cell
Energy of formation from the pure elements ... -0.47 eV per atom

---

Material: CoOsRh2
Method: DFT, SCAN
State: single point on PBEsol structure

a = 2.6491 Å, b = 3.7201 Å, c = 5.2159 Å
α = 90.00°, β = 90.00°, γ = 90.00°
Last column: nearest neighbours and their distance in Å.
Space group Pmmm (No. 47)
One atom of each set of equivalent atoms:
Co 0.0000 0.0000 0.0000 x1  2 Os 2.61, 8 Rh 2.62, 2 Co 2.65
Os 0.0000 0.0000 0.5000 x1  2 Co 2.61, 8 Rh 2.64, 2 Os 2.65
Rh 0.5000 0.5000 0.2454 x2  4 Rh 2.56-2.66, 4 Co 2.62, 4 Os 2.64

Results
Offset from the most stable computed form ... 0.030 eV/atom
DOS(E_F) ... 3.14 states/eV/cell
Energy of formation from the pure elements ... 0.09 eV per atom

---

Material: CoRe2BiIr
Method: DFT, SCAN
State: single point on PBEsol structure

a = 4.3649 Å, b = 4.3649 Å, c = 4.6802 Å
α = 90.00°, β = 90.00°, γ = 90.00°
Last column: nearest neighbours and their distance in Å.
Space group P4/mmm (No. 123)
One atom of each set of equivalent atoms:
Co 0.0000 0.0000 0.0000 x1  4 Re 2.18, 2 Bi 2.34
Re 0.0000 0.5000 0.0000 x2  2 Co 2.18
Bi 0.0000 0.0000 0.5000 x1  2 Co 2.34
Ir 0.5000 0.5000 0.5000 x1  4 Bi 3.09, 8 Re 3.20

Results
DOS(E_F) ... 5.10 states/eV/cell
Energy of formation from the pure elements ... 1.92 eV per atom

---

Material: NiPb5
Method: DFT, SCAN
State: single point on PBEsol structure

a = 3.3548 Å, b = 3.3548 Å, c = 13.6969 Å
α = 90.00°, β = 90.00°, γ = 90.00°
Last column: nearest neighbours and their distance in Å.
Space group P4/mmm (No. 123)
One atom of each set of equivalent atoms:
Ni 0.0000 0.0000 0.0000 x1  8 Pb 2.87
Pb 0.0000 0.0000 0.3129 x2  12 Pb 3.35-3.58
Pb 0.5000 0.5000 0.1174 x2  4 Ni 2.87
Pb 0.5000 0.5000 0.5000 x1  12 Pb 3.35-3.49

Results
DOS(E_F) ... 2.84 states/eV/cell
Energy of formation from the pure elements ... 0.13 eV per atom

---

no.,magnetic moment (μB per atom)
1,0.000
2,0.000
3,0.000
4,0.465
5,0.000
6,0.000